[1]
Li2AsO | PBE-GGA | relaxed

Output
crystal system	cubic
calculated total energy	-3.631	eV/atom
total moment	0.0	μB per formula unit
energy relative to the lowest polymorph listed for this composition	0.5185	eV/atom
ΔE_f (raw)	-272	meV per atom

Cell and atoms, written as extended XYZ:
```
16
Lattice="5.899 0.000 0.000 0.000 5.899 0.000 0.000 0.000 5.899" Properties=species:S:1:pos:R:3 pbc="T T T"
Li 1.475 1.475 1.475
Li 1.475 1.475 4.425
Li 1.475 4.425 1.475
Li 1.475 4.425 4.425
Li 4.425 1.475 1.475
Li 4.425 1.475 4.425
Li 4.425 4.425 1.475
Li 4.425 4.425 4.425
As 0.000 0.000 0.000
As 0.000 2.950 2.950
As 2.950 0.000 2.950
As 2.950 2.950 0.000
O 0.000 0.000 2.950
O 0.000 2.950 0.000
O 2.950 0.000 0.000
O 2.950 2.950 2.950
```

---

[2]
Li2AsO | PBE-GGA | relaxed

Output
crystal system	tetragonal
calculated total energy	-4.150	eV/atom
total moment	0.0	μB per formula unit
energy relative to the lowest polymorph listed for this composition	0.0000	eV/atom
ΔE_f (raw)	-791	meV per atom

Cell and atoms, written as extended XYZ:
```
16
Lattice="5.599 0.000 0.000 0.000 5.599 0.000 0.000 0.000 7.227" Properties=species:S:1:pos:R:3 pbc="T T T"
Li 0.571 1.400 0.903
Li 1.400 3.371 2.710
Li 1.400 5.028 6.324
Li 2.228 1.400 4.517
Li 3.371 4.199 4.517
Li 4.199 0.571 6.324
Li 4.199 2.228 2.710
Li 5.028 4.199 0.903
As 0.000 0.000 3.614
As 0.000 2.800 5.420
As 2.800 0.000 1.807
As 2.800 2.800 0.000
O 0.000 0.000 0.000
O 0.000 2.800 1.807
O 2.800 0.000 5.420
O 2.800 2.800 3.614
```

---

[3]
LiAs2OsO | PBE-GGA | relaxed

Output
crystal system	tetragonal
calculated total energy	-5.571	eV/atom
total moment	0.0	μB per formula unit
ΔE_f (raw)	-91	meV per atom

Cell and atoms, written as extended XYZ:
```
5
Lattice="5.058 0.000 0.000 0.000 5.058 0.000 0.000 0.000 3.677" Properties=species:S:1:pos:R:3 pbc="T T T"
Li 0.000 0.000 0.000
As 0.000 2.529 1.839
As 2.529 0.000 1.839
Os 2.529 2.529 1.839
O 2.529 2.529 0.000
```

---

[4]
LiAs2OsO8 | PBE-GGA | relaxed

Output
crystal system	tetragonal
calculated total energy	-6.054	eV/atom
total moment	0.0	μB per formula unit
ΔE_f (raw)	-879	meV per atom

Cell and atoms, written as extended XYZ:
```
12
Lattice="-3.346 3.346 3.049 3.346 -3.346 3.049 3.346 3.346 -3.049" Properties=species:S:1:pos:R:3 pbc="T T T"
Li 0.000 0.000 0.000
As 0.000 0.000 3.049
As 0.000 3.346 1.525
Os 3.346 0.000 1.525
O 2.019 3.346 -1.130
O 1.327 0.000 1.920
O 0.000 2.123 0.292
O 3.346 2.019 1.130
O 0.000 4.570 0.292
O 0.000 1.327 4.179
O -1.224 3.346 2.758
O 1.224 3.346 2.758
```